# 1
! ScTa2Tc (PBE-GGA, optimized geometry); values from VASP
! - formation energy (eV per atom) = 0.17
! - density of states at the Fermi level (states/eV/cell) = 3.41
! - polymorph energy (0 for the lowest one) (eV/atom) = 0.320
! - total energy (eV for the cell shown) = -39.73
! - volume (Å³/atom) = 17.98
! - theoretical density (g/cm³) = 11.655
&SYSTEM
  ibrav = 0, nat = 4, ntyp = 3
/
ATOMIC_SPECIES
Sc 44.96 Sc.upf
Ta 180.95 Ta.upf
Tc 98.00 Tc.upf
ATOMIC_POSITIONS angstrom
Sc 0.000 0.000 0.000
Ta 1.348 2.387 1.397
Ta 1.348 -2.387 1.397
Tc 2.697 0.000 0.000
CELL_PARAMETERS angstrom
2.697 -4.775 0.000
2.697 4.775 0.000
0.000 0.000 2.793



# 2
! ScTaTc2 (PBE-GGA, optimized geometry); values from VASP
! - formation energy (eV per atom) = -0.11
! - density of states at the Fermi level (states/eV/cell) = 3.15
! - polymorph energy (0 for the lowest one) (eV/atom) = 0.212
! - total energy (eV for the cell shown) = -39.37
! - volume (Å³/atom) = 16.68
! - theoretical density (g/cm³) = 10.503
&SYSTEM
  ibrav = 0, nat = 4, ntyp = 3
/
ATOMIC_SPECIES
Sc 44.96 Sc.upf
Ta 180.95 Ta.upf
Tc 98.00 Tc.upf
ATOMIC_POSITIONS angstrom
Sc 0.000 0.000 0.000
Ta 0.000 0.000 4.297
Tc 1.611 0.000 2.214
Tc 0.000 2.408 2.084
CELL_PARAMETERS angstrom
-1.611 2.408 4.297
1.611 -2.408 4.297
1.611 2.408 -4.297